Here is Ga2CoSi after structural relaxation from the Alexandria database. Energies are from PBE.

Unit cell a=6.6490 b=6.6490 c=6.6490 alpha=95.99 beta=95.99 gamma=142.32
With the nearest neighbours (Å) after each atom.
Element x y z (fractional)
Ga  0.3750  0.1257  0.2507  2 Co 2.29
Ga  0.8743  0.1250  0.2493  2 Co 2.29
Ga  0.8750  0.1243  0.7493  2 Co 2.29
Ga  0.8757  0.6250  0.7507  2 Co 2.29
Co  0.0000  0.0000  0.0000  2 Si 2.15, 4 Ga 2.29
Co  0.7500  0.2500  0.5000  2 Si 2.15, 4 Ga 2.29
Si  0.2500  0.7500  0.5000  2 Co 2.15
Si  0.5000  0.5000  0.0000  2 Co 2.15

Results
Its space-group type is No. 122. Its calculated density is 4.42 g/cm3. The raw formation energy comes out at 0.017 eV per atom.


Here is GaCo2Si after structural relaxation from the Alexandria database. Energies are from PBE.

Unit cell a=2.6887 b=2.6887 c=6.2922 alpha=90.00 beta=90.00 gamma=90.00
With the nearest neighbours (Å) after each atom.
Element x y z (fractional)
Ga  0.0000  0.0000  0.0000  8 Co 2.59, 4 Ga 2.69
Co  0.5000  0.5000  0.2796  4 Si 2.35, 4 Ga 2.59
Co  0.5000  0.5000  0.7204  4 Si 2.35, 4 Ga 2.59
Si  0.0000  0.0000  0.5000  8 Co 2.35

Results
Its space-group type is No. 123. Its calculated density is 7.87 g/cm3. The raw formation energy comes out at -0.419 eV per atom.


Here is GaCo2Si after structural relaxation from the Alexandria database. Energies are from PBE.

Unit cell a=3.8554 b=3.8554 c=3.0492 alpha=90.00 beta=90.00 gamma=90.00
With the nearest neighbours (Å) after each atom.
Element x y z (fractional)
Ga  0.0000  0.0000  0.0000  8 Co 2.46, 4 Si 2.73
Co  0.0000  0.5000  0.5000  4 Si 2.46, 4 Ga 2.46, 4 Co 2.73
Co  0.5000  0.0000  0.5000  4 Si 2.46, 4 Ga 2.46, 4 Co 2.73
Si  0.5000  0.5000  0.0000  8 Co 2.46, 4 Ga 2.73

Results
Its space-group type is No. 123. Its calculated density is 7.90 g/cm3. The raw formation energy comes out at -0.339 eV per atom.


Here is GaCo2Si after structural relaxation from the Alexandria database. Energies are from PBE.

Unit cell a=5.1760 b=5.1760 c=5.1760 alpha=104.95 beta=104.95 gamma=118.94
With the nearest neighbours (Å) after each atom.
Element x y z (fractional)
Ga  0.0000  0.0000  0.0000  4 Co 2.48, 2 Si 2.63
Ga  0.7500  0.2500  0.5000  4 Co 2.48, 2 Si 2.63
Co  0.1606  0.6250  0.0356  2 Si 2.18
Co  0.3750  0.4106  0.5356  2 Si 2.18
Co  0.5894  0.1250  0.9644  2 Si 2.18
Co  0.8750  0.8394  0.4644  2 Si 2.18
Si  0.2500  0.7500  0.5000  4 Co 2.18
Si  0.5000  0.5000  0.0000  4 Co 2.18

Results
Its space-group type is No. 122. Its calculated density is 6.85 g/cm3. The raw formation energy comes out at 0.093 eV per atom.


Here is Ga5Co6Si after structural relaxation from the Alexandria database. Energies are from PBE.

Unit cell a=4.0562 b=5.7102 c=6.4262 alpha=90.00 beta=108.31 gamma=90.00
With the nearest neighbours (Å) after each atom.
Element x y z (fractional)
Ga  0.0000  0.0000  0.0000  8 Co 2.44-2.52
Ga  0.3303  0.5000  0.6602  8 Co 2.47-2.50
Ga  0.3329  0.0000  0.6654  8 Co 2.50-2.56
Ga  0.6671  0.0000  0.3346  8 Co 2.50-2.56
Ga  0.6697  0.5000  0.3398  8 Co 2.47-2.50
Co  0.1602  0.2548  0.3207  1 Si 2.41, 7 Ga 2.44-2.56
Co  0.1602  0.7452  0.3207  1 Si 2.41, 7 Ga 2.44-2.56
Co  0.5000  0.2630  0.0000  2 Si 2.44, 6 Ga 2.48-2.53, 1 Co 2.71
Co  0.5000  0.7370  0.0000  2 Si 2.44, 6 Ga 2.48-2.53, 1 Co 2.71
Co  0.8398  0.2548  0.6793  1 Si 2.41, 7 Ga 2.44-2.56
Co  0.8398  0.7452  0.6793  1 Si 2.41, 7 Ga 2.44-2.56
Si  0.0000  0.5000  0.0000  8 Co 2.41-2.44

Results
Its space-group type is No. 10. Its calculated density is 8.58 g/cm3. The raw formation energy comes out at -0.314 eV per atom.


Here is Ga3CoSi after structural relaxation from the Alexandria database. Energies are from PBE.

Unit cell a=4.7612 b=4.7612 c=4.7612 alpha=90.00 beta=90.00 gamma=90.00
With the nearest neighbours (Å) after each atom.
Element x y z (fractional)
Ga  0.0000  0.0000  0.5000  2 Si 2.38
Ga  0.0000  0.5000  0.0000  2 Si 2.38
Ga  0.5000  0.0000  0.0000  2 Si 2.38
Co  0.5000  0.5000  0.5000  12 Ga 3.37
Si  0.0000  0.0000  0.0000  6 Ga 2.38

Results
Its space-group type is No. 221. Its calculated density is 4.56 g/cm3. The calculation puts the energy above the lowest structure with this stoichiometry at 594 meV per atom. The raw formation energy comes out at 0.872 eV per atom.


Here is GaCoSi3 after structural relaxation from the Alexandria database. Energies are from PBE.

Unit cell a=4.3955 b=4.3955 c=4.3955 alpha=90.00 beta=90.00 gamma=90.00
With the nearest neighbours (Å) after each atom.
Element x y z (fractional)
Ga  0.0000  0.0000  0.0000  12 Si 3.11
Co  0.5000  0.5000  0.5000  6 Si 2.20
Si  0.0000  0.5000  0.5000  2 Co 2.20
Si  0.5000  0.0000  0.5000  2 Co 2.20
Si  0.5000  0.5000  0.0000  2 Co 2.20

Results
Its space-group type is No. 221. Its calculated density is 4.16 g/cm3. The calculation puts the energy above the lowest structure with this stoichiometry at 0 meV per atom. The raw formation energy comes out at 0.303 eV per atom.


Here is GaCoSi2 after structural relaxation from the Alexandria database. Energies are from PBE.

Unit cell a=8.1039 b=8.1039 c=8.1039 alpha=151.41 beta=151.41 gamma=40.88
With the nearest neighbours (Å) after each atom.
Element x y z (fractional)
Ga  0.0000  0.0000  0.0000  4 Si 2.48
Ga  0.7500  0.2500  0.5000  4 Si 2.48
Co  0.2500  0.7500  0.5000  4 Si 2.27
Co  0.5000  0.5000  0.0000  4 Si 2.27
Si  0.1871  0.6250  0.0621  2 Co 2.27, 2 Ga 2.48, 2 Si 2.50
Si  0.3750  0.4371  0.5621  2 Co 2.27, 2 Ga 2.48, 2 Si 2.50
Si  0.5629  0.1250  0.9379  2 Co 2.27, 2 Ga 2.48, 2 Si 2.50
Si  0.8750  0.8129  0.4379  2 Co 2.27, 2 Ga 2.48, 2 Si 2.50

Results
Its space-group type is No. 122. Its calculated density is 5.05 g/cm3. The raw formation energy comes out at 0.090 eV per atom.


Here is Ga3CoSi after structural relaxation from the Alexandria database. Energies are from PBE.

Unit cell a=4.5282 b=4.5282 c=4.5282 alpha=90.00 beta=90.00 gamma=90.00
With the nearest neighbours (Å) after each atom.
Element x y z (fractional)
Ga  0.0000  0.0000  0.5000  2 Co 2.26
Ga  0.0000  0.5000  0.0000  2 Co 2.26
Ga  0.5000  0.0000  0.0000  2 Co 2.26
Co  0.0000  0.0000  0.0000  6 Ga 2.26
Si  0.5000  0.5000  0.5000  12 Ga 3.20

Results
Its space-group type is No. 221. Its calculated density is 5.30 g/cm3. The calculation puts the energy above the lowest structure with this stoichiometry at 0 meV per atom. The raw formation energy comes out at 0.278 eV per atom.


Here is Ga2CoSi2 after structural relaxation from the Alexandria database. Energies are from PBE.

Unit cell a=5.9737 b=5.9737 c=4.2303 alpha=90.00 beta=90.00 gamma=90.00
With the nearest neighbours (Å) after each atom.
Element x y z (fractional)
Ga  0.1781  0.3219  0.0000  6 Si 2.60-2.86
Ga  0.3219  0.8219  0.0000  6 Si 2.60-2.86
Ga  0.6781  0.1781  0.0000  6 Si 2.60-2.86
Ga  0.8219  0.6781  0.0000  6 Si 2.60-2.86
Co  0.0000  0.0000  0.5000  4 Si 2.30
Co  0.5000  0.5000  0.5000  4 Si 2.30
Si  0.1434  0.6434  0.5000  2 Co 2.30, 1 Si 2.42
Si  0.3566  0.1434  0.5000  2 Co 2.30, 1 Si 2.42
Si  0.6434  0.8566  0.5000  2 Co 2.30, 1 Si 2.42
Si  0.8566  0.3566  0.5000  2 Co 2.30, 1 Si 2.42

Results
Its space-group type is No. 127. Its calculated density is 5.60 g/cm3. The raw formation energy comes out at 0.066 eV per atom.


Here is Ga3Co3Si after structural relaxation from the Alexandria database. Energies are from PBE.

Unit cell a=4.8677 b=4.8677 c=4.8677 alpha=108.93 beta=108.93 gamma=108.93
With the nearest neighbours (Å) after each atom.
Element x y z (fractional)
Ga  0.0000  0.5000  0.5000  6 Co 2.43-2.50
Ga  0.5000  0.0000  0.5000  6 Co 2.43-2.50
Ga  0.5000  0.5000  0.0000  6 Co 2.43-2.50
Co  0.0000  0.0000  0.5000  6 Ga 2.43-2.50, 2 Si 2.43
Co  0.0000  0.5000  0.0000  2 Si 2.43, 6 Ga 2.43-2.50
Co  0.5000  0.0000  0.0000  6 Ga 2.43-2.50, 2 Si 2.43
Si  0.0000  0.0000  0.0000  6 Co 2.43

Results
Its space-group type is No. 166. Its calculated density is 7.60 g/cm3. The raw formation energy comes out at -0.267 eV per atom.


Here is SmGa2Co2Si after structural relaxation from the Alexandria database. Energies are from PBE.

Unit cell a=4.2505 b=4.2505 c=5.5987 alpha=90.00 beta=90.00 gamma=90.00
With the nearest neighbours (Å) after each atom.
Element x y z (fractional)
Sm  0.0000  0.0000  0.0000  2 Si 2.80
Ga  0.5000  0.5000  0.2405  4 Co 2.57, 1 Ga 2.69
Ga  0.5000  0.5000  0.7595  4 Co 2.57, 1 Ga 2.69
Co  0.0000  0.5000  0.5000  2 Si 2.13
Co  0.5000  0.0000  0.5000  2 Si 2.13
Si  0.0000  0.0000  0.5000  4 Co 2.13

Results
Its space-group type is No. 123. Its calculated density is 7.15 g/cm3. The raw formation energy comes out at -0.357 eV per atom.